Computed, not measured: a geometry-optimized KCa2F2 structure at the PBE level of DFT.

Summary:
Total magnetization: 0.0000 μB/atom
Symmetry: No. 139
Raw total energy: -4.006 eV per atom
Energy above the lowest structure with this stoichiometry: 0.00 eV per formula unit
ΔE_f (raw): -2.237 eV/atom

a b c (Å): 3.965 3.965 10.079
angles (deg): 78.66 78.66 90.00
Atoms (fractional coordinates):
1 Ca 0.683 0.683 0.634
2 Ca 0.317 0.317 0.366
3 F 0.750 0.250 0.500
4 F 0.250 0.750 0.500
5 K 0.000 0.000 0.000



Computed, not measured: a geometry-optimized KCa2F2 structure at the PBE level of DFT.

Summary:
Total magnetization: 0.0000 μB/atom
Symmetry: No. 127
Raw total energy: -3.437 eV per atom
Energy above the lowest structure with this stoichiometry: 2.84 eV per formula unit
ΔE_f (raw): -1.668 eV/atom

a b c (Å): 10.246 10.246 3.268
angles (deg): 90.00 90.00 90.00
Atoms (fractional coordinates):
1 K 0.500 0.500 0.000
2 K 0.000 0.000 0.000
3 Ca 0.604 0.104 0.000
4 Ca 0.104 0.396 0.000
5 Ca 0.396 0.896 0.000
6 Ca 0.896 0.604 0.000
7 F 0.919 0.419 0.500
8 F 0.581 0.919 0.500
9 F 0.419 0.081 0.500
10 F 0.081 0.581 0.500



Computed, not measured: a geometry-optimized K2CaF structure at the PBE level of DFT.

Summary:
Total magnetization: 0.0000 μB/atom
Symmetry: No. 225
Raw total energy: -1.962 eV per atom
Energy above the lowest structure with this stoichiometry: 2.66 eV per formula unit
ΔE_f (raw): -0.445 eV/atom

a b c (Å): 6.379 6.379 6.379
angles (deg): 60.00 60.00 60.00
Atoms (fractional coordinates):
1 Ca 0.500 0.500 0.500
2 K 0.250 0.250 0.250
3 K 0.750 0.750 0.750
4 F 0.000 0.000 0.000



Computed, not measured: a geometry-optimized K6CaF8 structure at the PBE level of DFT.

Summary:
Total magnetization: 0.0181 μB/atom
Symmetry: No. 148
Raw total energy: -4.491 eV per atom
ΔE_f (raw): -2.921 eV/atom

a b c (Å): 6.960 6.960 6.960
angles (deg): 68.45 68.45 68.45
Site moments in Bohr magnetons follow the coordinates.
Atoms (fractional coordinates):
1 F 0.162 0.684 0.905  0.00
2 F 0.684 0.905 0.162  0.00
3 F 0.661 0.661 0.661  0.10
4 F 0.339 0.339 0.339  0.10
5 F 0.095 0.838 0.316  0.00
6 F 0.905 0.162 0.684  0.00
7 F 0.316 0.095 0.838  0.00
8 F 0.838 0.316 0.095  0.00
9 K 0.497 0.694 0.063  0.00
10 K 0.937 0.503 0.306  0.00
11 K 0.306 0.937 0.503  0.00
12 K 0.694 0.063 0.497  0.00
13 K 0.503 0.306 0.937  0.00
14 K 0.063 0.497 0.694  0.00
15 Ca 0.000 0.000 0.000  0.00



Computed, not measured: a geometry-optimized K3Ca2F7 structure at the PBE level of DFT.

Summary:
Total magnetization: 0.0180 μB/atom
Symmetry: No. 139
Raw total energy: -5.024 eV per atom
ΔE_f (raw): -3.324 eV/atom

a b c (Å): 4.465 4.465 11.666
angles (deg): 101.03 101.03 90.00
Site moments in Bohr magnetons follow the coordinates.
Atoms (fractional coordinates):
1 F 0.200 0.200 0.400  0.08
2 F 0.401 0.901 0.802  0.01
3 F 0.901 0.401 0.802  0.01
4 F 0.800 0.800 0.600  0.08
5 F 0.000 0.000 0.000  0.01
6 F 0.099 0.599 0.198  0.01
7 F 0.599 0.099 0.198  0.01
8 Ca 0.100 0.100 0.201  0.00
9 Ca 0.900 0.900 0.799  0.00
10 K 0.687 0.687 0.373  0.00
11 K 0.500 0.500 0.000  0.00
12 K 0.313 0.313 0.627  0.00



Computed, not measured: a geometry-optimized K2Ca3LaF12 structure at the PBE level of DFT.

Summary:
Total magnetization: 0.0698 μB/atom
Symmetry: No. 166
Raw total energy: -5.362 eV per atom
ΔE_f (raw): -3.385 eV/atom

a b c (Å): 8.623 8.623 8.623
angles (deg): 55.80 55.80 55.80
Site moments in Bohr magnetons follow the coordinates.
Atoms (fractional coordinates):
1 La 0.000 0.000 0.000  0.02
2 F 0.065 0.674 0.065  0.06
3 F 0.102 0.662 0.662  0.13
4 F 0.662 0.102 0.662  0.13
5 F 0.662 0.662 0.102  0.13
6 F 0.935 0.326 0.935  0.06
7 F 0.326 0.935 0.935  0.06
8 F 0.065 0.065 0.674  0.06
9 F 0.935 0.935 0.326  0.06
10 F 0.898 0.338 0.338  0.13
11 F 0.338 0.898 0.338  0.13
12 F 0.674 0.065 0.065  0.06
13 F 0.338 0.338 0.898  0.13
14 Ca 0.000 0.500 0.000  0.00
15 Ca 0.500 0.000 0.000  0.00
16 Ca 0.000 0.000 0.500  0.00
17 K 0.420 0.420 0.420  0.00
18 K 0.580 0.580 0.580  0.00



Computed, not measured: a geometry-optimized KCaLaF6 structure at the PBE level of DFT.

Summary:
Total magnetization: 0.0008 μB/atom
Symmetry: No. 74
Raw total energy: -5.825 eV per atom
ΔE_f (raw): -3.686 eV/atom

a b c (Å): 8.799 8.297 8.590
angles (deg): 118.88 120.81 90.00
Atoms (fractional coordinates):
1 Ca 0.500 0.500 0.000
2 Ca 0.500 0.000 0.000
3 La 0.000 0.000 0.500
4 La 0.500 0.000 0.500
5 F 0.466 0.101 0.277
6 F 0.188 0.899 0.723
7 F 0.445 0.695 0.889
8 F 0.178 0.928 0.356
9 F 0.555 0.305 0.111
10 F 0.466 0.676 0.277
11 F 0.188 0.324 0.723
12 F 0.534 0.899 0.723
13 F 0.822 0.072 0.644
14 F 0.812 0.101 0.277
15 F 0.812 0.676 0.277
16 F 0.534 0.324 0.723
17 K 0.759 0.509 0.518
18 K 0.241 0.491 0.482



Computed, not measured: a geometry-optimized K2LiCaF6 structure at the PBE level of DFT.

Summary:
Total magnetization: 0.1104 μB/atom
Symmetry: No. 14
Raw total energy: -4.562 eV per atom
ΔE_f (raw): -2.829 eV/atom

a b c (Å): 6.066 5.985 8.540
angles (deg): 90.00 90.25 90.00
Site moments in Bohr magnetons follow the coordinates.
Atoms (fractional coordinates):
1 F 0.236 0.214 0.481  0.17
2 F 0.764 0.786 0.519  0.17
3 F 0.962 0.504 0.239  0.16
4 F 0.215 0.236 0.019  0.17
5 F 0.715 0.264 0.519  0.17
6 F 0.462 0.996 0.739  0.16
7 F 0.785 0.764 0.981  0.17
8 F 0.038 0.496 0.761  0.16
9 F 0.264 0.714 0.019  0.17
10 F 0.285 0.736 0.481  0.17
11 F 0.736 0.286 0.981  0.17
12 F 0.538 0.004 0.261  0.16
13 Li 0.500 0.000 0.500  0.00
14 Li 0.000 0.500 0.000  0.00
15 K 0.501 0.512 0.748  0.00
16 K 0.499 0.488 0.252  0.00
17 K 0.999 0.012 0.752  0.00
18 K 0.001 0.988 0.248  0.00
19 Ca 0.500 0.000 0.000  -0.01
20 Ca 0.000 0.500 0.500  -0.01



Q: What is the ΔE_f (raw) in the second record?
A: -1.668 eV/atom